[1]
Computed, not measured: crystalline SrIr2Pt at its relaxed geometry at the PBE level of DFT.

a b c (Å): 4.7045 4.7045 4.7045
angles (deg): 60.00 60.00 60.00
Last column: magnetic moment on the atom in μB.
Fractional positions:
Ir: 0.7500 0.7500 0.7500  0.74
Ir: 0.2500 0.2500 0.2500  0.74
Pt: 0.5000 0.5000 0.5000  0.39
Sr: 0.0000 0.0000 0.0000  0.00

## Properties
Space group: No. 225
Excess energy over the best structure of this formula in the dataset (eV/f.u.): 2.12
Calculated total energy (eV per atom): -5.78
Formation enthalpy at 0 K (meV per atom): 576

=====

[2]
Computed, not measured: crystalline SrIr2Pt at its relaxed geometry at the PBE level of DFT.

a b c (Å): 4.7167 4.7167 4.7167
angles (deg): 60.00 60.00 60.00
Last column: magnetic moment on the atom in μB.
Fractional positions:
Sr: 0.7500 0.7500 0.7500  0.00
Ir: 0.0000 0.0000 0.0000  0.86
Ir: 0.2500 0.2500 0.2500  0.77
Pt: 0.5000 0.5000 0.5000  0.13

## Properties
Space group: No. 216
Excess energy over the best structure of this formula in the dataset (eV/f.u.): 1.65
Calculated total energy (eV per atom): -5.90
Formation enthalpy at 0 K (meV per atom): 459

=====

[3]
Computed, not measured: crystalline SrIr2Pt at its relaxed geometry at the PBE level of DFT.

a b c (Å): 5.1627 5.1627 5.1627
angles (deg): 132.80 132.80 68.97
Fractional positions:
Pt: 0.2500 0.7500 0.5000
Ir: 0.0000 0.0000 0.0000
Ir: 0.5000 0.5000 0.0000
Sr: 0.7500 0.2500 0.5000

## Properties
Space group: No. 139
Excess energy over the best structure of this formula in the dataset (eV/f.u.): 1.33
Calculated total energy (eV per atom): -5.98
Formation enthalpy at 0 K (meV per atom): 378

=====

[4]
Computed, not measured: crystalline Sr2Ir2Pt at its relaxed geometry at the PBE level of DFT.

a b c (Å): 6.8832 6.8832 4.7640
angles (deg): 90.00 90.00 90.00
Fractional positions:
Pt: 0.0000 0.0000 0.0000
Sr: 0.6812 0.8188 0.5000
Ir: 0.3748 0.8748 0.0000
Sr: 0.8188 0.3188 0.5000
Ir: 0.1252 0.3748 0.0000
Pt: 0.5000 0.5000 0.0000
Ir: 0.8748 0.6252 0.0000
Ir: 0.6252 0.1252 0.0000
Sr: 0.1812 0.6812 0.5000
Sr: 0.3188 0.1812 0.5000

## Properties
Space group: No. 127
Excess energy over the best structure of this formula in the dataset (eV/f.u.): 0.00
Calculated total energy (eV per atom): -5.69
Formation enthalpy at 0 K (meV per atom): -265

=====

[5]
Computed, not measured: crystalline Sr8Ir2Pt at its relaxed geometry at the PBE level of DFT.

a b c (Å): 6.2631 9.3572 9.3552
angles (deg): 120.04 89.99 90.00
Fractional positions:
Ir: 0.2404 0.3333 0.6668
Sr: 0.7452 0.3333 0.6668
Sr: 0.2461 0.6800 0.8387
Sr: 0.2461 0.1611 0.8411
Sr: 0.2462 0.1589 0.3200
Sr: 0.7538 0.8410 0.6800
Pt: 0.0000 0.0000 0.0000
Sr: 0.2548 0.6667 0.3332
Sr: 0.7539 0.3200 0.1613
Sr: 0.7539 0.8389 0.1589
Ir: 0.7596 0.6667 0.3332

## Properties
Space group: No. 2
Calculated total energy (eV per atom): -3.46
Formation enthalpy at 0 K (meV per atom): -78

=====

[6]
Computed, not measured: crystalline SrIr3Pt at its relaxed geometry at the PBE level of DFT.

a b c (Å): 4.9101 4.9101 4.9101
angles (deg): 90.00 90.00 90.00
Last column: magnetic moment on the atom in μB.
Fractional positions:
Ir: 0.5000 0.0000 0.0000  0.53
Ir: 0.0000 0.0000 0.5000  1.30
Sr: 0.5000 0.5000 0.5000  -0.01
Pt: 0.0000 0.0000 0.0000  0.66
Ir: 0.0000 0.5000 0.0000  0.93

## Properties
Space group: No. 221
Excess energy over the best structure of this formula in the dataset (eV/f.u.): 0.00
Calculated total energy (eV per atom): -5.77
Formation enthalpy at 0 K (meV per atom): 1089

=====

[7]
Computed, not measured: crystalline SrIr2Pt at its relaxed geometry at the PBE level of DFT.

a b c (Å): 2.9401 2.9401 8.4205
angles (deg): 90.00 90.00 89.98
Fractional positions:
Ir: 0.0000 0.0000 0.4598
Pt: 0.5000 0.5000 0.2500
Ir: 0.0000 0.0000 0.0402
Sr: 0.5000 0.5000 0.7500

## Properties
Space group: No. 123
Excess energy over the best structure of this formula in the dataset (eV/f.u.): 0.95
Calculated total energy (eV per atom): -6.08
Formation enthalpy at 0 K (meV per atom): 283

=====

[8]
Computed, not measured: crystalline SrTcIrPt2 at its relaxed geometry at the PBE level of DFT.

a b c (Å): 4.7507 5.2643 4.7507
angles (deg): 90.00 90.00 90.00
Fractional positions:
Pt: 0.0000 0.0000 0.5000
Ir: 0.5000 0.5000 0.5000
Tc: 0.0000 0.0000 0.0000
Sr: 0.0000 0.5000 0.0000
Pt: 0.5000 0.0000 0.0000

## Properties
Space group: No. 123
Calculated total energy (eV per atom): -5.19
Formation enthalpy at 0 K (meV per atom): 1406

=====

[9]
Computed, not measured: crystalline SrTc2IrPt at its relaxed geometry at the PBE level of DFT.

a b c (Å): 4.7013 5.6398 4.7013
angles (deg): 90.00 90.00 90.00
Last column: magnetic moment on the atom in μB.
Fractional positions:
Ir: 0.0000 0.0000 0.0000  -0.01
Tc: 0.5000 0.0000 0.0000  1.35
Pt: 0.5000 0.5000 0.5000  0.14
Tc: 0.0000 0.0000 0.5000  1.31
Sr: 0.0000 0.5000 0.0000  -0.01

## Properties
Space group: No. 123
Calculated total energy (eV per atom): -6.21
Formation enthalpy at 0 K (meV per atom): 1253

=====

[10]
Computed, not measured: crystalline SrTeIrPt2 at its relaxed geometry at the PBE level of DFT.

a b c (Å): 5.1780 5.0214 5.1780
angles (deg): 90.00 90.00 90.00
Fractional positions:
Ir: 0.0000 0.5000 0.0000
Pt: 0.0000 0.0000 0.5000
Pt: 0.5000 0.0000 0.0000
Te: 0.5000 0.5000 0.5000
Sr: 0.0000 0.0000 0.0000

## Properties
Space group: No. 123
Calculated total energy (eV per atom): -3.37
Uncorrected formation energy (kJ/mol of atoms): 172

=====

[11]
Computed, not measured: crystalline Sr2TeIrPt at its relaxed geometry at the PBE level of DFT.

a b c (Å): 5.8712 4.7389 5.8712
angles (deg): 90.00 90.00 90.00
Last column: magnetic moment on the atom in μB.
Fractional positions:
Pt: 0.0000 0.0000 0.0000  0.01
Sr: 0.5000 0.0000 0.0000  0.00
Te: 0.5000 0.5000 0.5000  0.05
Sr: 0.0000 0.0000 0.5000  0.00
Ir: 0.0000 0.5000 0.0000  0.20

## Properties
Space group: No. 123
Calculated total energy (eV per atom): -4.61
Uncorrected formation energy (kJ/mol of atoms): -32

=====

[12]
Computed, not measured: crystalline SrV2IrPt at its relaxed geometry at the PBE level of DFT.

a b c (Å): 4.5264 4.8042 4.5264
angles (deg): 90.00 90.00 90.00
Last column: magnetic moment on the atom in μB.
Fractional positions:
V: 0.0000 0.0000 0.5000  1.12
Ir: 0.0000 0.5000 0.0000  -0.10
Sr: 0.0000 0.0000 0.0000  0.04
V: 0.5000 0.0000 0.0000  1.16
Pt: 0.5000 0.5000 0.5000  0.03

## Properties
Space group: No. 123
Calculated total energy (eV per atom): -4.50
Formation enthalpy at 0 K (meV per atom): 2466

=====

no.,total magnetic moment (μB per cell)
1,1.87
2,1.78
3,0.00
4,0.00
5,0.00
6,3.45
7,0.00
8,0.01
9,3.09
10,0.00
11,0.29
12,2.45